Record 1
TeW2Se | PBE-GGA | optimized geometry

## Properties
total energy: -7.41 eV per atom
ρ: 13.03 g cm⁻³

CIF file:
```
data_TeW2Se
_cell_length_a 3.2747
_cell_length_b 4.2974
_cell_length_c 10.3991
_cell_angle_alpha 90.00
_cell_angle_beta 90.00
_cell_angle_gamma 90.00
_space_group_name_H-M_alt 'I m m 2'
_space_group_IT_number 44
loop_
_space_group_symop_operation_xyz
'x,y,z'
'-x,-y,z'
'-x,y,z'
'x,-y,z'
'x+1/2,y+1/2,z+1/2'
'-x+1/2,-y+1/2,z+1/2'
'-x+1/2,y+1/2,z+1/2'
'x+1/2,-y+1/2,z+1/2'
loop_
_atom_site_label
_atom_site_type_symbol
_atom_site_fract_x
_atom_site_fract_y
_atom_site_fract_z
Te1 Te 0.0000 0.0000 0.0000
W1 W 0.0000 0.0000 0.5459
W2 W 0.0000 0.5000 0.8115
Se1 Se 0.0000 0.5000 0.2415
```

=====

Record 2
TeW2Se3 | PBE-GGA | optimized geometry

## Properties
total energy: -7.01 eV per atom
ρ: 8.53 g cm⁻³

CIF file:
```
data_TeW2Se3
_cell_length_a 3.3786
_cell_length_b 3.3786
_cell_length_c 14.4138
_cell_angle_alpha 90.00
_cell_angle_beta 90.00
_cell_angle_gamma 120.00
_space_group_name_H-M_alt 'P 3 m 1'
_space_group_IT_number 156
loop_
_space_group_symop_operation_xyz
'x,y,z'
'-y,x-y,z'
'-x+y,-x,z'
'-y,-x,z'
'-x+y,y,z'
'x,x-y,z'
loop_
_atom_site_label
_atom_site_type_symbol
_atom_site_fract_x
_atom_site_fract_y
_atom_site_fract_z
Te1 Te 0.0000 0.0000 0.0000
W1 W 0.0000 0.0000 0.3777
W2 W 0.6667 0.3333 0.8681
Se1 Se 0.0000 0.0000 0.7537
Se2 Se 0.6667 0.3333 0.2625
Se3 Se 0.6667 0.3333 0.4930
```

=====

Record 3
Te4WSe | PBE-GGA | optimized geometry

## Properties
total energy: -3.50 eV per atom
ρ: 7.68 g cm⁻³

CIF file:
```
data_Te4WSe
_cell_length_a 8.7439
_cell_length_b 8.7439
_cell_length_c 8.7439
_cell_angle_alpha 90.00
_cell_angle_beta 90.00
_cell_angle_gamma 90.00
_space_group_name_H-M_alt 'F -4 3 m'
_space_group_IT_number 216
_space_group_name_Hall 'F -4 2 3'
loop_
_atom_site_label
_atom_site_type_symbol
_atom_site_fract_x
_atom_site_fract_y
_atom_site_fract_z
Te1 Te 0.1243 0.1243 0.1243
W1 W 0.2500 0.2500 0.7500
Se1 Se 0.0000 0.0000 0.5000
```

=====

Record 4
TeW2Se | PBE-GGA | optimized geometry

## Properties
total energy: -7.10 eV per atom
ρ: 12.92 g cm⁻³

CIF file:
```
data_TeW2Se
_cell_length_a 3.1972
_cell_length_b 5.1568
_cell_length_c 8.9544
_cell_angle_alpha 90.00
_cell_angle_beta 90.00
_cell_angle_gamma 90.00
_space_group_name_H-M_alt 'I m m m'
_space_group_IT_number 71
_space_group_name_Hall '-I 2 2'
loop_
_atom_site_label
_atom_site_type_symbol
_atom_site_fract_x
_atom_site_fract_y
_atom_site_fract_z
Te1 Te 0.0000 0.0000 0.0000
W1 W 0.0000 0.5000 0.2219
Se1 Se 0.0000 0.0000 0.5000
```

=====

Record 5
Te4W3Se2 | PBE-GGA | optimized geometry

## Properties
total energy: -6.70 eV per atom
ρ: 8.45 g cm⁻³

CIF file:
```
data_Te4W3Se2
_cell_length_a 3.4733
_cell_length_b 3.4733
_cell_length_c 22.9511
_cell_angle_alpha 90.00
_cell_angle_beta 90.00
_cell_angle_gamma 120.00
_space_group_name_H-M_alt 'P -6 m 2'
_space_group_IT_number 187
_space_group_name_Hall 'P -6 2'
loop_
_atom_site_label
_atom_site_type_symbol
_atom_site_fract_x
_atom_site_fract_y
_atom_site_fract_z
Te1 Te 0.0000 0.0000 0.1020
Te2 Te 0.0000 0.0000 0.2633
W1 W 0.0000 0.0000 0.5000
W2 W 0.6667 0.3333 0.1827
Se1 Se 0.6667 0.3333 0.4290
```

=====

Record 6
TeW4Se8 | PBE-GGA | optimized geometry

## Properties
total energy: -6.55 eV per atom
ρ: 7.52 g cm⁻³

CIF file:
```
data_TeW4Se8
_cell_length_a 6.6115
_cell_length_b 6.6115
_cell_length_c 26.1704
_cell_angle_alpha 90.00
_cell_angle_beta 90.00
_cell_angle_gamma 120.00
_space_group_name_H-M_alt 'R -3 m'
_space_group_IT_number 166
_space_group_name_Hall '-R 3 2"'
loop_
_atom_site_label
_atom_site_type_symbol
_atom_site_fract_x
_atom_site_fract_y
_atom_site_fract_z
Te1 Te 0.0000 0.0000 0.0000
W1 W 0.0000 0.0000 0.5000
W2 W 0.0000 0.5000 0.5000
Se1 Se 0.0000 0.0000 0.2323
Se2 Se 0.0021 0.5010 0.7675
```